[1]
Here is an optimized crystal structure of Zr2PaIn from Alexandria via LeMat-Bulk. Energies are from PBE.

Cell lengths 5.0822, 5.0822, 5.0822 Å; angles 61.54, 61.54, 61.54 degrees
With the nearest neighbours (Å) after each atom.
Sites, in units of the cell vectors:
Zr  0.0000  0.0000  0.0000  1 Pa 2.84, 4 Zr 3.13-3.15
Zr  0.2545  0.2545  0.2545  4 Zr 3.13-3.15, 4 In 3.14-3.17
Pa  0.7693  0.7693  0.7693  1 Zr 2.84, 4 In 3.15-3.16
In  0.5123  0.5123  0.5123  4 Zr 3.14-3.17, 4 Pa 3.15-3.16

Distance to the lowest polymorph of the same formula = 229 meV per atom



[2]
Here is an optimized crystal structure of ZrPaIn2 from Alexandria via LeMat-Bulk. Energies are from PBE.

Cell lengths 4.5466, 4.5466, 4.6794 Å; angles 90.00, 90.00, 90.00 degrees
With the nearest neighbours (Å) after each atom.
Sites, in units of the cell vectors:
Zr  0.0000  0.0000  0.0000  4 Pa 3.21, 8 In 3.26
Pa  0.5000  0.5000  0.0000  4 Zr 3.21, 8 In 3.26
In  0.0000  0.5000  0.5000  4 In 3.21, 4 Zr 3.26, 4 Pa 3.26
In  0.5000  0.0000  0.5000  4 In 3.21, 4 Zr 3.26, 4 Pa 3.26

Distance to the lowest polymorph of the same formula = 90 meV per atom



[3]
Here is an optimized crystal structure of Zr5PaIn3 from Alexandria via LeMat-Bulk. Energies are from PBE.

Cell lengths 8.8401, 8.8401, 6.1065 Å; angles 90.00, 90.00, 120.00 degrees
With the nearest neighbours (Å) after each atom.
Sites, in units of the cell vectors:
Zr  0.0000  0.3222  0.2500  5 In 2.93-3.06, 2 Pa 3.23
Zr  0.0000  0.6778  0.7500  5 In 2.93-3.06, 2 Pa 3.23
Zr  0.3222  0.0000  0.2500  5 In 2.93-3.06, 2 Pa 3.23
Zr  0.3222  0.3222  0.7500  5 In 2.93-3.06, 2 Pa 3.23
Zr  0.3333  0.6667  0.0000  8 Zr 3.05-3.36, 6 In 3.27
Zr  0.3333  0.6667  0.5000  8 Zr 3.05-3.36, 6 In 3.27
Zr  0.6667  0.3333  0.0000  8 Zr 3.05-3.36, 6 In 3.27
Zr  0.6667  0.3333  0.5000  8 Zr 3.05-3.36, 6 In 3.27
Zr  0.6778  0.0000  0.7500  5 In 2.93-3.06, 2 Pa 3.23
Zr  0.6778  0.6778  0.2500  5 In 2.93-3.06, 2 Pa 3.23
Pa  0.0000  0.0000  0.0000  2 Pa 3.05, 6 Zr 3.23
Pa  0.0000  0.0000  0.5000  2 Pa 3.05, 6 Zr 3.23
In  0.0000  0.3463  0.7500  9 Zr 2.93-3.27
In  0.0000  0.6537  0.2500  9 Zr 2.93-3.27
In  0.3463  0.0000  0.7500  9 Zr 2.93-3.27
In  0.3463  0.3463  0.2500  9 Zr 2.93-3.27
In  0.6537  0.0000  0.2500  9 Zr 2.93-3.27
In  0.6537  0.6537  0.7500  9 Zr 2.93-3.27



[4]
Here is an optimized crystal structure of ZrPa2In from Alexandria via LeMat-Bulk. Energies are from PBE.

Cell lengths 12.2018, 12.2018, 12.2018 Å; angles 14.87, 14.87, 14.87 degrees
With the nearest neighbours (Å) after each atom.
Sites, in units of the cell vectors:
Zr  0.0000  0.0000  0.0000  6 Zr 3.16, 6 Pa 3.30
Pa  0.4095  0.4095  0.4095  6 Pa 3.16, 1 In 3.28, 3 Zr 3.30
Pa  0.5905  0.5905  0.5905  6 Pa 3.16, 1 In 3.28, 3 Zr 3.30
In  0.5000  0.5000  0.5000  6 In 3.16, 2 Pa 3.28

Distance to the lowest polymorph of the same formula = 302 meV per atom



[5]
Here is an optimized crystal structure of Zr2PaIn from Alexandria via LeMat-Bulk. Energies are from PBE.

Cell lengths 5.0676, 5.0676, 5.0676 Å; angles 60.00, 60.00, 60.00 degrees
With the nearest neighbours (Å) after each atom.
Sites, in units of the cell vectors:
Zr  0.2500  0.2500  0.2500  4 In 3.10, 4 Pa 3.10
Zr  0.7500  0.7500  0.7500  4 In 3.10, 4 Pa 3.10
Pa  0.0000  0.0000  0.0000  8 Zr 3.10
In  0.5000  0.5000  0.5000  8 Zr 3.10

Distance to the lowest polymorph of the same formula = 129 meV per atom



[6]
Here is an optimized crystal structure of Zr6PaIn5 from Alexandria via LeMat-Bulk. Energies are from PBE.

Cell lengths 8.5191, 8.5191, 8.5191 Å; angles 148.33, 122.22, 67.40 degrees
With the nearest neighbours (Å) after each atom.
Sites, in units of the cell vectors:
Zr  0.0759  0.8349  0.2411  7 In 3.06-3.18, 1 Pa 3.07, 4 Zr 3.30-3.35
Zr  0.2455  0.5000  0.7455  2 Pa 3.08, 6 In 3.13, 4 Zr 3.30
Zr  0.4062  0.1651  0.2411  7 In 3.06-3.18, 1 Pa 3.07, 4 Zr 3.30-3.35
Zr  0.5938  0.8349  0.7589  7 In 3.06-3.18, 1 Pa 3.07, 4 Zr 3.30-3.35
Zr  0.7545  0.5000  0.2545  2 Pa 3.08, 6 In 3.13, 4 Zr 3.30
Zr  0.9241  0.1651  0.7589  7 In 3.06-3.18, 1 Pa 3.07, 4 Zr 3.30-3.35
Pa  0.0000  0.0000  0.0000  8 Zr 3.07-3.08, 4 In 3.33
In  0.1684  0.6684  0.5000  8 Zr 3.06-3.18, 2 In 3.33, 2 Pa 3.33
In  0.3363  0.3363  0.0000  8 Zr 3.13-3.15, 4 In 3.29-3.33
In  0.5000  0.0000  0.5000  8 Zr 3.13-3.17, 4 In 3.29
In  0.6637  0.6637  0.0000  8 Zr 3.13-3.15, 4 In 3.29-3.33
In  0.8316  0.3316  0.5000  8 Zr 3.06-3.18, 2 In 3.33, 2 Pa 3.33



[7]
Here is an optimized crystal structure of InPb from Alexandria via LeMat-Bulk. Energies are from PBE.

Cell lengths 3.4545, 3.4545, 9.9250 Å; angles 90.00, 90.00, 90.00 degrees
With the nearest neighbours (Å) after each atom.
Sites, in units of the cell vectors:
In  0.2500  0.2500  0.1188  8 In 3.39-3.45, 4 Pb 3.50
In  0.7500  0.7500  0.8812  8 In 3.39-3.45, 4 Pb 3.50
Pb  0.2500  0.2500  0.6292  8 Pb 3.45-3.54, 4 In 3.50
Pb  0.7500  0.7500  0.3708  8 Pb 3.45-3.54, 4 In 3.50



[8]
Here is an optimized crystal structure of InPb3 from Alexandria via LeMat-Bulk. Energies are from PBE.

Cell lengths 4.9610, 4.9610, 4.9635 Å; angles 90.00, 90.00, 90.00 degrees
With the nearest neighbours (Å) after each atom.
Sites, in units of the cell vectors:
In  0.0000  0.0000  0.0000  12 Pb 3.51
Pb  0.0000  0.5000  0.5011  4 In 3.51, 8 Pb 3.51
Pb  0.5000  0.0000  0.4989  4 In 3.51, 8 Pb 3.51
Pb  0.5000  0.5000  0.0000  8 Pb 3.51, 4 In 3.51



[9]
Here is an optimized crystal structure of In6Pb from Alexandria via LeMat-Bulk. Energies are from PBE.

Cell lengths 7.0099, 7.0099, 7.0099 Å; angles 109.47, 109.47, 109.47 degrees
With the nearest neighbours (Å) after each atom.
Sites, in units of the cell vectors:
In  0.2500  0.5000  0.7500  4 In 2.86
In  0.2500  0.7500  0.5000  4 In 2.86
In  0.5000  0.2500  0.7500  4 In 2.86
In  0.5000  0.7500  0.2500  4 In 2.86
In  0.7500  0.2500  0.5000  4 In 2.86
In  0.7500  0.5000  0.2500  4 In 2.86
Pb  0.0000  0.0000  0.0000  24 In 4.52

Distance to the lowest polymorph of the same formula = 419 meV per atom



[10]
Here is an optimized crystal structure of In6Pb from Alexandria via LeMat-Bulk. Energies are from PBE.

Cell lengths 8.4482, 8.4482, 8.4482 Å; angles 118.39, 118.39, 118.39 degrees
With the nearest neighbours (Å) after each atom.
Sites, in units of the cell vectors:
In  0.1066  0.8116  0.2476  8 In 3.24-3.54, 1 Pb 3.54
In  0.1884  0.7524  0.8934  8 In 3.24-3.54, 1 Pb 3.54
In  0.2476  0.1066  0.8116  8 In 3.24-3.54, 1 Pb 3.54
In  0.7524  0.8934  0.1884  8 In 3.24-3.54, 1 Pb 3.54
In  0.8116  0.2476  0.1066  8 In 3.24-3.54, 1 Pb 3.54
In  0.8934  0.1884  0.7524  8 In 3.24-3.54, 1 Pb 3.54
Pb  0.5000  0.5000  0.5000  2 Pb 3.24, 6 In 3.54

Distance to the lowest polymorph of the same formula = 0 meV per atom



[11]
Here is an optimized crystal structure of InPb3 from Alexandria via LeMat-Bulk. Energies are from PBE.

Cell lengths 6.2948, 6.2948, 6.2948 Å; angles 90.00, 90.00, 90.00 degrees
With the nearest neighbours (Å) after each atom.
Sites, in units of the cell vectors:
In  0.0000  0.0000  0.0000  12 Pb 3.52
In  0.5000  0.5000  0.5000  12 Pb 3.52
Pb  0.0000  0.2500  0.5000  2 Pb 3.15, 4 In 3.52
Pb  0.0000  0.7500  0.5000  2 Pb 3.15, 4 In 3.52
Pb  0.2500  0.5000  0.0000  2 Pb 3.15, 4 In 3.52
Pb  0.5000  0.0000  0.2500  2 Pb 3.15, 4 In 3.52
Pb  0.5000  0.0000  0.7500  2 Pb 3.15, 4 In 3.52
Pb  0.7500  0.5000  0.0000  2 Pb 3.15, 4 In 3.52



[12]
Here is an optimized crystal structure of In2Pb from Alexandria via LeMat-Bulk. Energies are from PBE.

Cell lengths 9.5141, 9.5141, 3.3550 Å; angles 90.00, 90.00, 120.00 degrees
With the nearest neighbours (Å) after each atom.
Sites, in units of the cell vectors:
In  0.0000  0.3134  0.0000  4 Pb 3.27-3.42, 8 In 3.36-3.62
In  0.0000  0.6433  0.5000  8 In 3.36-3.62, 5 Pb 3.39-3.50
In  0.3134  0.0000  0.0000  4 Pb 3.27-3.42, 8 In 3.36-3.62
In  0.3567  0.3567  0.5000  8 In 3.36-3.62, 5 Pb 3.39-3.50
In  0.6433  0.0000  0.5000  8 In 3.36-3.62, 5 Pb 3.39-3.50
In  0.6866  0.6866  0.0000  4 Pb 3.27-3.42, 8 In 3.36-3.62
Pb  0.0000  0.0000  0.5000  2 Pb 3.36, 9 In 3.39-3.42
Pb  0.3333  0.6667  0.0000  9 In 3.27-3.50, 2 Pb 3.36
Pb  0.6667  0.3333  0.0000  9 In 3.27-3.50, 2 Pb 3.36

Distance to the lowest polymorph of the same formula = 22 meV per atom



What did we get for calculated total energy? Answer: -28.95 -23.79 -62.42 -29.39 -29.35 -77.37 -6.42 -13.82 -16.98 -19.92 -13.54 -9.08 eV per formula unit, in the order shown.
What did we get for ΔH_f (0 K)? Answer: 0.0945 -0.0661 -0.2189 0.2225 -0.0057 -0.2408 0.0139 0.0108 0.4512 0.0319 0.0804 0.0365 eV/atom, in the order shown.